This record from the Alexandria database describes Li4ZnCl after structural relaxation. The functional is PBE-GGA.

Results
- E_form (uncorrected): -0.679 eV per formula unit
- Total magnetization: 0.144 μB per atom
- DFT total energy: -11.45 eV/f.u.

```
Li4ZnCl
1.0
2.6174 -2.3845 4.3375
-2.7992 -1.0246 4.7397
-1.2153 -5.2697 1.4502
Li Zn Cl
4 1 1
direct
0.8714 0.3762 0.3762
0.3762 0.3762 0.8714
0.3762 0.8714 0.3762
0.3762 0.3762 0.3762
0.7500 0.7500 0.7500
0.0000 0.0000 0.0000
```


This record from the Alexandria database describes Ba2Tl3Cd4Ga after structural relaxation. The functional is PBE-GGA.

Results
- DFT formation energy: -0.252 eV/atom
- Total magnetization: 0.000 μB per atom
- DFT total energy: -20.15 eV/f.u.

```
Ba2Tl3Cd4Ga
1.0
5.0004 0.0000 0.0000
0.0000 5.0004 0.0000
0.0000 0.0000 12.1116
Ba Tl Cd Ga
2 3 4 1
direct
0.5000 0.0000 0.2538
0.0000 0.5000 0.7462
0.0000 0.0000 0.5000
0.5000 0.0000 0.8635
0.0000 0.5000 0.1365
0.5000 0.5000 0.0000
0.0000 0.0000 0.0000
0.5000 0.0000 0.6245
0.0000 0.5000 0.3755
0.5000 0.5000 0.5000
```